Entry from the Alexandria database: a relaxed structure of VAuO2 (PBE with a Hubbard U).

abc: 14.230 3.010 3.010
angles: 121.63 90.44 89.56
Fractional coordinates of all 8 atoms:
Au: 0.581 0.097 0.430
Au: 0.419 0.430 0.097
V: 0.180 0.779 0.768
V: 0.820 0.768 0.779
O: 0.115 0.133 0.456
O: 0.885 0.456 0.133
O: 0.745 0.095 0.434
O: 0.255 0.434 0.095

Properties
- Total moment: 2.56 Bohr magnetons per cell
- Uncorrected energy: -51.9 eV for the cell shown
- SG: C2, No. 5